1.
{
  "formula": "Pr12Tl6Sn",
  "functional": "GGA-PBE",
  "state": "optimized geometry",
  "lattice_angstrom": [[-6.961, -2.185, 5.575], [7.416, -4.602, 2.850], [1.703, 8.963, 1.035]],
  "species": ["Pr", "Pr", "Pr", "Pr", "Pr", "Pr", "Pr", "Pr", "Pr", "Pr", "Pr", "Pr", "Tl", "Tl", "Tl", "Tl", "Tl", "Tl", "Sn"],
  "frac_coords": [[0.312, 0.391, 0.071], [0.071, 0.312, 0.391], [0.391, 0.071, 0.312], [0.929, 0.688, 0.609], [0.655, 0.969, 0.122], [0.969, 0.122, 0.655], [0.031, 0.878, 0.345], [0.609, 0.929, 0.688], [0.345, 0.031, 0.878], [0.878, 0.345, 0.031], [0.688, 0.609, 0.929], [0.122, 0.655, 0.969], [0.666, 0.358, 0.253], [0.334, 0.642, 0.747], [0.747, 0.334, 0.642], [0.642, 0.747, 0.334], [0.253, 0.666, 0.358], [0.358, 0.253, 0.666], [0.000, 0.000, 0.000]],
  "volume_a3_per_cell": 631.3,
  "formation_energy_ev_per_atom": -0.151,
  "magnetic_moment_mub_per_atom": 0.00,
  "spacegroup": "R-3",
  "n_ef_per_ev_atom": 1.0872,
  "energy_ry_per_atom": -0.303
}

2.
{
  "formula": "PmDy2Th2",
  "functional": "GGA-PBE",
  "state": "optimized geometry",
  "lattice_angstrom": [[-1.633, -1.330, -2.901], [0.776, -3.311, -1.134], [-10.866, -6.909, 7.071]],
  "species": ["Dy", "Dy", "Th", "Th", "Pm"],
  "frac_coords": [[0.599, 0.599, 0.204], [0.401, 0.401, 0.796], [0.199, 0.199, 0.403], [0.801, 0.801, 0.597], [0.000, 0.000, 0.000]],
  "volume_a3_per_cell": 161.9,
  "formation_energy_ev_per_atom": 0.016,
  "magnetic_moment_mub_per_atom": 0.00,
  "spacegroup": "R-3m",
  "n_ef_per_ev_atom": 1.2952,
  "energy_ry_per_atom": -0.422
}

3.
{
  "formula": "UTl2AgO8",
  "functional": "GGA-PBE",
  "state": "optimized geometry",
  "lattice_angstrom": [[5.106, -0.149, -0.206], [-0.139, 5.084, 0.216], [-0.272, 0.282, 6.975]],
  "species": ["O", "O", "O", "O", "O", "O", "O", "O", "Tl", "Tl", "Ag", "U"],
  "frac_coords": [[0.800, 0.210, 0.807], [0.840, 0.168, 0.248], [0.694, 0.703, 0.000], [0.306, 0.297, 0.000], [0.200, 0.790, 0.193], [0.301, 0.291, 0.501], [0.699, 0.709, 0.499], [0.160, 0.832, 0.752], [0.525, 0.474, 0.257], [0.475, 0.526, 0.743], [0.000, 0.000, 0.500], [0.000, 0.000, 0.000]],
  "volume_a3_per_cell": 180.4,
  "magnetic_moment_mub_per_atom": 0.05,
  "spacegroup": "P-1",
  "n_ef_per_ev_atom": 0.8914,
  "energy_ry_per_atom": -0.444,
  "e_form_raw_ev_per_atom": -1.16
}

4.
{
  "formula": "Ho6Co2Rh",
  "functional": "GGA-PBE",
  "state": "optimized geometry",
  "lattice_angstrom": [[-4.809, -4.295, 0.453], [1.903, -2.788, -6.235], [5.581, -6.372, 4.552]],
  "species": ["Co", "Co", "Co", "Co", "Ho", "Ho", "Ho", "Ho", "Ho", "Ho", "Ho", "Ho", "Ho", "Ho", "Ho", "Ho", "Rh", "Rh"],
  "frac_coords": [[0.036, 0.626, 0.283], [0.536, 0.874, 0.783], [0.964, 0.374, 0.717], [0.464, 0.126, 0.217], [0.348, 0.831, 0.416], [0.180, 0.335, 0.432], [0.836, 0.950, 0.242], [0.152, 0.331, 0.084], [0.320, 0.835, 0.068], [0.680, 0.165, 0.932], [0.848, 0.669, 0.916], [0.820, 0.665, 0.568], [0.652, 0.169, 0.584], [0.664, 0.450, 0.258], [0.336, 0.550, 0.742], [0.164, 0.050, 0.758], [0.000, 0.000, 0.500], [0.500, 0.500, 0.000]],
  "volume_a3_per_cell": 440.3,
  "formation_energy_ev_per_atom": -0.269,
  "magnetic_moment_mub_per_atom": 0.00,
  "spacegroup": "P2_1/c",
  "n_ef_per_ev_atom": 0.9411,
  "energy_ry_per_atom": -0.420
}

5.
{
  "formula": "Ce2Ni12Ge3Ir",
  "functional": "GGA-PBE",
  "state": "optimized geometry",
  "lattice_angstrom": [[-6.091, -1.016, -1.508], [0.670, -6.087, -1.706], [-1.727, -2.521, 5.574]],
  "species": ["Ge", "Ge", "Ge", "Ni", "Ni", "Ni", "Ni", "Ni", "Ni", "Ni", "Ni", "Ni", "Ni", "Ni", "Ni", "Ce", "Ce", "Ir"],
  "frac_coords": [[0.500, 0.000, 0.000], [0.000, 0.500, 0.000], [0.000, 0.000, 0.500], [0.107, 0.606, 0.606], [0.394, 0.394, 0.893], [0.799, 0.298, 0.799], [0.606, 0.606, 0.107], [0.394, 0.893, 0.394], [0.201, 0.201, 0.702], [0.606, 0.107, 0.606], [0.702, 0.201, 0.201], [0.799, 0.799, 0.298], [0.201, 0.702, 0.201], [0.893, 0.394, 0.394], [0.298, 0.799, 0.799], [0.328, 0.328, 0.328], [0.672, 0.672, 0.672], [0.000, 0.000, 0.000]],
  "volume_a3_per_cell": 252.1,
  "formation_energy_ev_per_atom": -0.046,
  "magnetic_moment_mub_per_atom": 0.00,
  "spacegroup": "R-3m",
  "n_ef_per_ev_atom": 0.7148,
  "energy_ry_per_atom": -0.428
}

6.
{
  "formula": "CaTaCd2Ir",
  "functional": "GGA-PBE",
  "state": "optimized geometry",
  "lattice_angstrom": [[5.072, 0.000, 0.000], [0.000, 4.894, 0.000], [0.000, 0.000, 5.072]],
  "species": ["Ca", "Ta", "Ir", "Cd", "Cd"],
  "frac_coords": [[0.000, 0.000, 0.000], [0.000, 0.500, 0.000], [0.500, 0.500, 0.500], [0.000, 0.000, 0.500], [0.500, 0.000, 0.000]],
  "volume_a3_per_cell": 125.9,
  "formation_energy_ev_per_atom": 2.270,
  "magnetic_moment_mub_per_atom": 0.23,
  "spacegroup": "P4/mmm",
  "n_ef_per_ev_atom": 1.2865,
  "energy_ry_per_atom": -0.194
}